# 1
DFT (GGA-PBE) results for Y2CuNi9 after structural relaxation.

Geometry as POSCAR:
```
Y2CuNi9
1.0
2.452 1.416 7.984
-2.452 1.416 7.984
0.000 -2.831 7.984
Y Cu Ni
2 1 9
direct
0.134 0.134 0.134
0.866 0.866 0.866
0.000 0.000 0.000
0.080 0.581 0.581
0.333 0.333 0.333
0.419 0.419 0.920
0.419 0.920 0.419
0.500 0.500 0.500
0.581 0.080 0.581
0.581 0.581 0.080
0.667 0.667 0.667
0.920 0.419 0.419
```

Values from the calculation:
crystal system = trigonal
symmetry = R-3m (166)

=====

# 2
DFT (GGA-PBE) results for SrTbHg2 after structural relaxation.

Geometry as POSCAR:
```
SrTbHg2
1.0
2.022 1.167 9.024
-2.022 1.167 9.024
0.000 -2.335 9.024
Sr Tb Hg
1 1 2
direct
0.000 0.000 0.000
0.166 0.166 0.166
0.576 0.576 0.576
0.757 0.757 0.757
```

Values from the calculation:
crystal system = trigonal
symmetry = R3m (160)

=====

# 3
DFT (GGA-PBE) results for Ba2YB after structural relaxation.

Geometry as POSCAR:
```
Ba2YB
1.0
-5.751 5.751 2.494
5.751 -5.751 2.494
5.751 5.751 -2.494
Ba Y B
4 2 2
direct
0.375 0.220 0.345
0.780 0.125 0.155
0.875 0.030 0.655
0.970 0.625 0.845
0.250 0.750 0.500
0.500 0.500 0.000
0.000 0.000 0.000
0.750 0.250 0.500
```

Values from the calculation:
crystal system = tetragonal
symmetry = I-42d (122)

=====

no.,final energy (eV per atom)
1,-5.894
2,-2.080
3,-3.710